The following is a PBE with a Hubbard U calculation of a relaxed structure of TcW2OF, from the Alexandria database.

## Properties
Crystal system ... tetragonal
ρ ... 11.46 g/cm³
DFT total energy ... -28.09 eV per cell

Cell lengths 4.2462, 4.2462, 4.0254 Å; angles 90.00, 90.00, 90.00 degrees
Fractional coordinates of all 5 atoms:
1 Tc 0.0000 0.0000 0.0000
2 W 0.0000 0.5000 0.5000
3 W 0.5000 0.0000 0.5000
4 O 0.0000 0.0000 0.5000
5 F 0.5000 0.5000 0.0000